No. 1
Na3TmTi2Nb2O12: relaxed, PBEsol.

Unit cell a=5.360 b=5.520 c=7.676 alpha=89.99 beta=89.95 gamma=89.10
Atoms (fractional coordinates):
Na  0.000  0.000  0.000
Na  0.017  0.925  0.502
Na  0.501  0.471  0.003
Tm  0.497  0.394  0.502
Ti  0.510  0.943  0.746
Ti  0.994  0.451  0.258
Nb  0.510  0.943  0.243
Nb  0.998  0.461  0.760
O  0.070  0.445  0.005
O  0.224  0.196  0.306
O  0.228  0.194  0.696
O  0.315  0.665  0.307
O  0.317  0.670  0.696
O  0.428  0.957  0.997
O  0.585  0.997  0.503
O  0.702  0.272  0.772
O  0.706  0.272  0.231
O  0.807  0.777  0.788
O  0.814  0.768  0.211
O  0.900  0.500  0.499

Raw formation energy (eV/atom): -2.75

***

No. 2
NaNbWO6: relaxed, PBEsol.

Unit cell a=7.355 b=7.355 c=7.355 alpha=120.08 beta=119.95 gamma=89.97
Atoms (fractional coordinates):
Na  0.500  0.000  0.000
Na  0.500  0.500  0.500
Nb  0.000  0.000  0.000
Nb  0.500  0.000  0.500
W  0.000  0.000  0.500
W  0.000  0.500  0.000
O  0.054  0.304  0.750
O  0.063  0.318  0.123
O  0.063  0.940  0.745
O  0.306  0.060  0.623
O  0.306  0.682  0.245
O  0.323  0.073  0.250
O  0.677  0.927  0.750
O  0.694  0.318  0.755
O  0.694  0.940  0.377
O  0.937  0.060  0.255
O  0.937  0.682  0.877
O  0.946  0.696  0.250

Raw formation energy (eV/atom): -2.27

***

No. 3
Na2NbP2: relaxed, PBEsol.

Unit cell a=6.454 b=6.454 c=4.643 alpha=90.00 beta=90.00 gamma=90.00
Atoms (fractional coordinates):
Na  0.175  0.325  0.000
Na  0.325  0.825  0.000
Na  0.675  0.175  0.000
Na  0.825  0.675  0.000
Nb  0.000  0.000  0.500
Nb  0.500  0.500  0.500
P  0.128  0.628  0.500
P  0.372  0.128  0.500
P  0.628  0.872  0.500
P  0.872  0.372  0.500

Calculated formation energy (meV per atom): -141

***

No. 4
NaNbPb3: relaxed, PBEsol.

Unit cell a=5.479 b=5.479 c=5.479 alpha=90.00 beta=90.00 gamma=90.00
Atoms (fractional coordinates):
Na  0.000  0.000  0.000
Nb  0.500  0.500  0.500
Pb  0.000  0.500  0.500
Pb  0.500  0.000  0.500
Pb  0.500  0.500  0.000

Calculated formation energy (meV per atom): 281
ΔE to the lowest computed polymorph (eV per atom): 0.0000

***

No. 5
NaNb2PdRh: relaxed, PBEsol.

Unit cell a=4.766 b=4.766 c=4.926 alpha=90.00 beta=90.00 gamma=90.00
Atoms (fractional coordinates):
Na  0.000  0.000  0.000
Nb  0.000  0.500  0.500
Nb  0.500  0.000  0.500
Pd  0.500  0.500  0.500
Rh  0.500  0.500  0.000

Calculated formation energy (meV per atom): 1345

***

No. 6
NaNbSnPd2: relaxed, PBEsol.

Unit cell a=4.432 b=4.432 c=4.904 alpha=90.00 beta=90.00 gamma=90.00
Atoms (fractional coordinates):
Na  0.000  0.000  0.000
Nb  0.000  0.000  0.500
Sn  0.500  0.500  0.500
Pd  0.000  0.500  0.000
Pd  0.500  0.000  0.000

Calculated formation energy (meV per atom): 1170

***

No. 7
NaZrNbPt2: relaxed, PBEsol.

Unit cell a=4.928 b=4.928 c=4.883 alpha=90.00 beta=90.00 gamma=90.00
Atoms (fractional coordinates):
Na  0.000  0.000  0.000
Zr  0.500  0.500  0.000
Nb  0.500  0.500  0.500
Pt  0.000  0.500  0.500
Pt  0.500  0.000  0.500

Calculated formation energy (meV per atom): 672

***

No. 8
RbNa3Nb: relaxed, PBEsol.

Unit cell a=5.841 b=5.841 c=5.841 alpha=90.00 beta=90.00 gamma=90.00
Atoms (fractional coordinates):
Rb  0.000  0.000  0.000
Na  0.000  0.000  0.500
Na  0.000  0.500  0.000
Na  0.500  0.000  0.000
Nb  0.500  0.500  0.500

Calculated formation energy (meV per atom): 1504